# K2BaMo3F12

Crystalline K2BaMo3F12 at its relaxed geometry (PBE+U, Alexandria via LeMat-Bulk).

- DFT total energy: -5.356 eV/atom
- Space-group type: R-3m
- DOS at the Fermi energy: 0.33 states/eV/cell

abc: 7.6516 7.6516 7.6516
angles: 59.63 59.63 59.63
Last column: nearest neighbours and their distance in Å.
Positions (direct):
K 0.1255 0.1255 0.1255  3 F 2.64
K 0.8745 0.8745 0.8745  3 F 2.64
Ba 0.5000 0.5000 0.5000  6 F 2.69
Mo 0.0000 0.5000 0.5000  6 F 2.10-2.15
Mo 0.5000 0.0000 0.5000  6 F 2.10-2.15
Mo 0.5000 0.5000 0.0000  6 F 2.10-2.15
F 0.0676 0.6322 0.6322  1 Mo 2.10
F 0.2191 0.2191 0.6555  2 Mo 2.15
F 0.2191 0.6555 0.2191  2 Mo 2.15
F 0.3445 0.7809 0.7809  2 Mo 2.15
F 0.3678 0.3678 0.9324  1 Mo 2.10
F 0.3678 0.9324 0.3678  1 Mo 2.10
F 0.6322 0.0676 0.6322  1 Mo 2.10
F 0.6322 0.6322 0.0676  1 Mo 2.10
F 0.6555 0.2191 0.2191  2 Mo 2.15
F 0.7809 0.3445 0.7809  2 Mo 2.15
F 0.7809 0.7809 0.3445  2 Mo 2.15
F 0.9324 0.3678 0.3678  1 Mo 2.10